Rb2CrCu2Se4 | PBE-GGA | optimized geometry

Properties
The formation energy (no corrections) is -5.7 eV/f.u. As for the uncorrected energy: -4.375 eV/atom. For the magnetic moment, the calculation gives 0.29 μB/atom. The calculation puts the density of states at the Fermi level at 0.5505 states/eV/atom.

abc: 7.5779 7.5779 7.9786
angles: 107.72 107.72 29.94
Element x y z (fractional)
1 Rb 0.1322 0.1322 0.0628
2 Rb 0.8678 0.8678 0.9372
3 Cr 0.0000 0.0000 0.5000
4 Cu 0.3126 0.3126 0.5156
5 Cu 0.6874 0.6874 0.4844
6 Se 0.1866 0.1866 0.6678
7 Se 0.4822 0.4822 0.7035
8 Se 0.5178 0.5178 0.2965
9 Se 0.8134 0.8134 0.3322

---

RbTa2CrCu | PBE-GGA | optimized geometry

Properties
The formation energy from the elements is 1902.2 meV/atom. As for the uncorrected energy: -5.776 eV/atom. For the magnetic moment, the calculation gives 0.52 μB/atom. The calculation puts the density of states at the Fermi level at 0.7224 states/eV/atom.

abc: 4.7675 4.7675 5.7864
angles: 90.00 90.00 90.00
Element x y z (fractional)
1 Rb 0.0000 0.0000 0.0000
2 Ta 0.0000 0.5000 0.5000
3 Ta 0.5000 0.0000 0.5000
4 Cr 0.5000 0.5000 0.0000
5 Cu 0.0000 0.0000 0.5000

---

RbTa2CrCu | PBE-GGA | optimized geometry

Properties
The formation energy from the elements is 3372.2 meV/atom. As for the uncorrected energy: -4.306 eV/atom. For the magnetic moment, the calculation gives 0.00 μB/atom. The calculation puts the density of states at the Fermi level at 1.5046 states/eV/atom.

abc: 4.8307 4.8307 4.4810
angles: 90.00 90.00 90.00
Element x y z (fractional)
1 Rb 0.0000 0.0000 0.0000
2 Ta 0.0000 0.5000 0.0000
3 Ta 0.5000 0.0000 0.0000
4 Cr 0.5000 0.5000 0.5000
5 Cu 0.0000 0.0000 0.5000